# 1
Below is RbNaSr2Zn after structural relaxation, with properties calculated at the GGA-PBE level.

Total magnetization ... 0.00 μB/cell
Crystal system ... tetragonal
Space group ... P4/mmm, No. 123
Formation energy from the elements ... 0.0664 eV/atom

The structure in extended XYZ format:
```
5
Lattice="-4.449 -2.686 -3.632 4.411 -1.484 -4.306 0.958 -5.454 2.861" Properties=species:S:1:pos:R:3 pbc="T T T"
Sr 2.205 -0.742 -2.153
Sr -2.224 -1.343 -1.816
Zn 0.000 0.000 0.000
Rb 0.460 -4.812 -2.539
Na 0.479 -2.727 1.430
```

# 2
Below is TcAg2Sb after structural relaxation, with properties calculated at the GGA-PBE level.

Total magnetization ... 0.00 μB/cell
Crystal system ... cubic
Energy relative to the elements, uncorrected ... 37 kJ per mole of atoms
Space group ... F-43m, No. 216

The structure in extended XYZ format:
```
4
Lattice="-3.069 2.718 -2.220 -3.459 -1.852 2.517 3.678 1.905 2.139" Properties=species:S:1:pos:R:3 pbc="T T T"
Ag -6.528 0.865 0.297
Ag -1.523 0.243 2.403
Sb -3.264 0.433 0.149
Tc -1.327 2.528 0.034
```

# 3
Below is PmZnCuPd after structural relaxation, with properties calculated at the GGA-PBE level.

Total magnetization ... 0.00 μB/cell
Crystal system ... cubic
Space group ... F-43m, No. 216
Formation energy from the elements ... -0.3751 eV/atom

The structure in extended XYZ format:
```
4
Lattice="-4.509 0.258 1.436 -2.095 -3.790 1.924 -1.020 -0.050 4.628" Properties=species:S:1:pos:R:3 pbc="T T T"
Zn -3.812 -1.791 3.994
Cu -1.906 -0.895 1.997
Pd -5.718 -2.686 5.991
Pm 0.000 0.000 0.000
```